An optimized crystal structure of Ho3Ga8Ni3. Source: Alexandria, functional GGA-PBE. Values from VASP.

Quantum ESPRESSO input file:
```
&SYSTEM
  ibrav = 0, nat = 14, ntyp = 3
/
ATOMIC_SPECIES
Ho 164.93 Ho.upf
Ga 69.72 Ga.upf
Ni 58.69 Ni.upf
ATOMIC_POSITIONS crystal
Ho 0.000 0.000 0.000
Ho 0.290 0.290 0.290
Ho 0.710 0.710 0.710
Ga 0.138 0.138 0.430
Ga 0.152 0.152 0.874
Ga 0.349 0.349 0.728
Ga 0.493 0.493 0.320
Ga 0.507 0.507 0.680
Ga 0.651 0.651 0.272
Ga 0.848 0.848 0.126
Ga 0.862 0.862 0.570
Ni 0.000 0.000 0.500
Ni 0.349 0.349 0.994
Ni 0.651 0.651 0.006
CELL_PARAMETERS angstrom
7.686 -2.121 0.000
7.686 2.121 0.000
-5.209 0.000 7.364
```

Values from the calculation:
The calculation puts the energy of formation at -7.9 eV/f.u. The value obtained for the final energy is -4.511 eV per atom. Its space-group type is No. 12. For the density of states at the Fermi level, the calculation gives 6.11 states/eV per cell.

***

An optimized crystal structure of MgCd2Cu. Source: Alexandria, functional GGA-PBE. Values from VASP.

Quantum ESPRESSO input file:
```
&SYSTEM
  ibrav = 0, nat = 4, ntyp = 3
/
ATOMIC_SPECIES
Mg 24.30 Mg.upf
Cd 112.41 Cd.upf
Cu 63.55 Cu.upf
ATOMIC_POSITIONS crystal
Mg 0.000 0.000 0.000
Cd 0.000 0.000 0.577
Cd 0.500 0.500 0.287
Cu 0.500 0.500 0.795
CELL_PARAMETERS angstrom
3.182 0.000 0.000
0.000 3.182 0.000
0.000 0.000 7.489
```

Values from the calculation:
The calculation puts the energy of formation at -0.1 eV/f.u. The value obtained for the final energy is -1.911 eV per atom. Its space-group type is No. 99. For the density of states at the Fermi level, the calculation gives 1.36 states/eV per cell.

***

An optimized crystal structure of RbSn3Pb. Source: Alexandria, functional GGA-PBE. Values from VASP.

Quantum ESPRESSO input file:
```
&SYSTEM
  ibrav = 0, nat = 5, ntyp = 3
/
ATOMIC_SPECIES
Rb 85.47 Rb.upf
Sn 118.71 Sn.upf
Pb 207.20 Pb.upf
ATOMIC_POSITIONS crystal
Rb 0.000 0.000 0.000
Sn 0.000 0.000 0.500
Sn 0.000 0.500 0.000
Sn 0.500 0.000 0.000
Pb 0.500 0.500 0.500
CELL_PARAMETERS angstrom
6.000 0.000 0.000
0.000 6.000 0.000
0.000 0.000 6.000
```

Values from the calculation:
The calculation puts the energy of formation at 5.8 eV/f.u. The value obtained for the final energy is -2.170 eV per atom. Its space-group type is No. 221. The energy above the most stable polymorph in this dataset is 1242.4 meV/atom. For the density of states at the Fermi level, the calculation gives 7.44 states/eV per cell.

***

An optimized crystal structure of PmPrTm2Th. Source: Alexandria, functional GGA-PBE. Values from VASP.

Quantum ESPRESSO input file:
```
&SYSTEM
  ibrav = 0, nat = 10, ntyp = 4
/
ATOMIC_SPECIES
Pm 145.00 Pm.upf
Pr 140.91 Pr.upf
Tm 168.93 Tm.upf
Th 232.04 Th.upf
ATOMIC_POSITIONS crystal
Pm 0.035 0.250 0.396
Pm 0.965 0.750 0.604
Pr 0.250 0.250 0.810
Pr 0.750 0.750 0.190
Tm 0.161 0.750 0.006
Tm 0.372 0.750 0.406
Tm 0.628 0.250 0.594
Tm 0.839 0.250 0.994
Th 0.418 0.250 0.205
Th 0.582 0.750 0.795
CELL_PARAMETERS angstrom
6.312 0.000 0.000
0.000 5.755 0.000
-3.137 0.000 9.089
```

Values from the calculation:
The calculation puts the energy of formation at 0.3 eV/f.u. The value obtained for the final energy is -5.127 eV per atom. Its space-group type is No. 11. For the density of states at the Fermi level, the calculation gives 15.50 states/eV per cell.

***

An optimized crystal structure of Ca6Tl3Hg. Source: Alexandria, functional GGA-PBE. Values from VASP.

Quantum ESPRESSO input file:
```
&SYSTEM
  ibrav = 0, nat = 20, ntyp = 3
/
ATOMIC_SPECIES
Ca 40.08 Ca.upf
Tl 204.38 Tl.upf
Hg 200.59 Hg.upf
ATOMIC_POSITIONS crystal
Ca 0.022 0.250 0.414
Ca 0.159 0.750 0.169
Ca 0.259 0.250 0.001
Ca 0.345 0.750 0.821
Ca 0.362 0.250 0.339
Ca 0.393 0.250 0.631
Ca 0.607 0.750 0.369
Ca 0.638 0.750 0.661
Ca 0.655 0.250 0.179
Ca 0.741 0.750 0.999
Ca 0.841 0.250 0.831
Ca 0.978 0.750 0.586
Tl 0.029 0.750 0.877
Tl 0.107 0.250 0.716
Tl 0.275 0.750 0.474
Tl 0.725 0.250 0.526
Tl 0.893 0.750 0.284
Tl 0.971 0.250 0.123
Hg 0.451 0.750 0.101
Hg 0.549 0.250 0.899
CELL_PARAMETERS angstrom
9.498 0.000 0.000
0.000 5.546 0.000
-4.124 0.000 11.566
```

Values from the calculation:
The calculation puts the energy of formation at -3.9 eV/f.u. The value obtained for the final energy is -2.326 eV per atom. Its space-group type is No. 11. For the density of states at the Fermi level, the calculation gives 9.71 states/eV per cell.

***

An optimized crystal structure of AcLuAs2. Source: Alexandria, functional GGA-PBE. Values from VASP.

Quantum ESPRESSO input file:
```
&SYSTEM
  ibrav = 0, nat = 4, ntyp = 3
/
ATOMIC_SPECIES
Ac 227.00 Ac.upf
Lu 174.97 Lu.upf
As 74.92 As.upf
ATOMIC_POSITIONS crystal
Ac 0.000 0.000 0.000
Lu 0.500 0.500 0.000
As 0.000 0.500 0.500
As 0.500 0.000 0.500
CELL_PARAMETERS angstrom
5.245 0.000 0.000
0.000 5.245 0.000
0.000 0.000 3.741
```

Values from the calculation:
The calculation puts the energy of formation at -3.6 eV/f.u. The value obtained for the final energy is -5.390 eV per atom. Its space-group type is No. 123. The energy above the most stable polymorph in this dataset is 92.9 meV/atom. For the density of states at the Fermi level, the calculation gives 1.60 states/eV per cell.